Record 1
Below is an optimized crystal structure of Fe2Pd, with properties calculated at the PBE level.

Values from the calculation:
crystal system: monoclinic

a = 5.2960 Å, b = 5.1761 Å, c = 6.2316 Å
α = 90.00°, β = 104.55°, γ = 90.00°
Space group C2/m (No. 12)
Asymmetric unit:
Fe: 0.0770 0.0000 0.2883
Fe: 0.2500 0.2500 0.0000
Pd: 0.0997 0.5000 0.3227


Record 2
Below is an optimized crystal structure of Fe2Pd5, with properties calculated at the PBE level.

Values from the calculation:
crystal system: monoclinic

a = 12.2668 Å, b = 4.7148 Å, c = 7.1237 Å
α = 90.00°, β = 94.31°, γ = 90.00°
Space group C2/c (No. 15)
Asymmetric unit:
Fe: 0.0773 0.1775 0.1048
Pd: 0.0000 0.2991 0.7500
Pd: 0.1313 0.3217 0.4575
Pd: 0.2147 0.1670 0.8222


Record 3
Below is an optimized crystal structure of PmFePd, with properties calculated at the PBE level.

Values from the calculation:
crystal system: tetragonal

a = 3.4784 Å, b = 3.4784 Å, c = 9.8219 Å
α = 90.00°, β = 90.00°, γ = 90.00°
Space group P4/mmm (No. 123)
Asymmetric unit:
Pm: 0.0000 0.0000 0.1889
Fe: 0.5000 0.5000 0.3859
Pd: 0.0000 0.0000 0.5000
Pd: 0.5000 0.5000 0.0000


Record 4
Below is an optimized crystal structure of Pm6FePd2, with properties calculated at the PBE level.

Values from the calculation:
crystal system: monoclinic

a = 6.6490 Å, b = 7.4918 Å, c = 12.0689 Å
α = 90.00°, β = 122.79°, γ = 90.00°
Space group P2_1/c (No. 14)
Asymmetric unit:
Pm: 0.1036 0.1756 0.4359
Pm: 0.2654 0.6841 0.4357
Pm: 0.3939 0.0339 0.2518
Fe: 0.5000 0.0000 0.5000
Pd: 0.1881 0.1153 0.7489


Record 5
Below is an optimized crystal structure of PrFePd, with properties calculated at the PBE level.

Values from the calculation:
crystal system: orthorhombic

a = 10.0228 Å, b = 4.9467 Å, c = 4.9515 Å
α = 90.00°, β = 90.00°, γ = 90.00°
Space group Amm2 (No. 38)
Asymmetric unit:
Pr: 0.1895 0.0000 0.0000
Fe: 0.3889 0.0000 0.5009
Pd: 0.0000 0.0000 0.4997
Pd: 0.5000 0.0000 0.0011


Record 6
Below is an optimized crystal structure of FePd2Pt4, with properties calculated at the PBE level.

Values from the calculation:
crystal system: orthorhombic
distance to the lowest polymorph of the same formula: 0 meV/atom

a = 7.6246 Å, b = 7.8549 Å, c = 3.8280 Å
α = 90.00°, β = 90.00°, γ = 90.00°
Space group Cmmm (No. 65)
Asymmetric unit:
Fe: 0.0000 0.0000 0.0000
Pd: 0.2303 0.5000 0.5000
Pt: 0.0000 0.2345 0.5000
Pt: 0.2500 0.2500 0.0000


Record 7
Below is an optimized crystal structure of FePdPt3, with properties calculated at the PBE level.

Values from the calculation:
crystal system: hexagonal
distance to the lowest polymorph of the same formula: 599 meV/atom

a = 6.6529 Å, b = 6.6529 Å, c = 4.6738 Å
α = 90.00°, β = 90.00°, γ = 120.00°
Space group P6_3/mmc (No. 194)
Asymmetric unit:
Fe: 0.3333 0.6667 0.2500
Pd: 0.0000 0.0000 0.0000
Pt: 0.2038 0.4076 0.7500


Record 8
Below is an optimized crystal structure of FePd2Pt9, with properties calculated at the PBE level.

Values from the calculation:
crystal system: tetragonal

a = 3.9412 Å, b = 3.9412 Å, c = 11.8763 Å
α = 90.00°, β = 90.00°, γ = 90.00°
Space group P4/mmm (No. 123)
Asymmetric unit:
Fe: 0.0000 0.0000 0.0000
Pd: 0.0000 0.0000 0.3310
Pt: 0.0000 0.5000 0.1601
Pt: 0.0000 0.5000 0.5000
Pt: 0.5000 0.5000 0.0000
Pt: 0.5000 0.5000 0.3296


Record 9
Below is an optimized crystal structure of Fe3Pd3Pt, with properties calculated at the PBE level.

Values from the calculation:
crystal system: cubic

a = 7.4925 Å, b = 7.4925 Å, c = 7.4925 Å
α = 90.00°, β = 90.00°, γ = 90.00°
Space group P2_13 (No. 198)
Asymmetric unit:
Fe: 0.1022 0.3978 0.6022
Fe: 0.1060 0.8940 0.3940
Fe: 0.2179 0.2179 0.2179
Pd: 0.0707 0.2028 0.8918
Pt: 0.0845 0.5845 0.9155


Record 10
Below is an optimized crystal structure of Fe4PdPt15, with properties calculated at the PBE level.

Values from the calculation:
crystal system: tetragonal

a = 3.9251 Å, b = 3.9251 Å, c = 19.5985 Å
α = 90.00°, β = 90.00°, γ = 90.00°
Space group P4/mmm (No. 123)
Asymmetric unit:
Fe: 0.0000 0.0000 0.1006
Fe: 0.0000 0.0000 0.2995
Pd: 0.0000 0.0000 0.5000
Pt: 0.0000 0.5000 0.0000
Pt: 0.0000 0.5000 0.1988
Pt: 0.0000 0.5000 0.3955
Pt: 0.5000 0.5000 0.0994
Pt: 0.5000 0.5000 0.2974
Pt: 0.5000 0.5000 0.5000


Record 11
Below is an optimized crystal structure of FePd3Pt, with properties calculated at the PBE level.

Values from the calculation:
crystal system: orthorhombic
distance to the lowest polymorph of the same formula: 0 meV/atom

a = 8.7439 Å, b = 8.1016 Å, c = 4.5337 Å
α = 90.00°, β = 90.00°, γ = 90.00°
Space group Pnma (No. 62)
Asymmetric unit:
Fe: 0.0000 0.0000 0.0000
Pd: 0.0644 0.2500 0.3724
Pd: 0.1973 0.5677 0.5764
Pt: 0.1539 0.7500 0.0954


Record 12
Below is an optimized crystal structure of Fe2PdPt5, with properties calculated at the PBE level.

Values from the calculation:
crystal system: orthorhombic

a = 5.5264 Å, b = 11.0523 Å, c = 3.9148 Å
α = 90.00°, β = 90.00°, γ = 90.00°
Space group Pbam (No. 55)
Asymmetric unit:
Fe: 0.2500 0.1250 0.0000
Pd: 0.0000 0.0000 0.5000
Pt: 0.0000 0.5000 0.5000
Pt: 0.0020 0.7497 0.5000
Pt: 0.2491 0.3749 0.0000


Record 13
Below is an optimized crystal structure of FePd4Pt, with properties calculated at the PBE level.

Values from the calculation:
crystal system: monoclinic
distance to the lowest polymorph of the same formula: 0 meV/atom

a = 14.3443 Å, b = 2.7702 Å, c = 4.8024 Å
α = 90.00°, β = 109.13°, γ = 90.00°
Space group C2/m (No. 12)
Asymmetric unit:
Fe: 0.0000 0.0000 0.0000
Pd: 0.1616 0.5000 0.0025
Pd: 0.1657 0.0000 0.5000
Pt: 0.0000 0.5000 0.5000


Record 14
Below is an optimized crystal structure of Fe2Pd3Pt4, with properties calculated at the PBE level.

Values from the calculation:
crystal system: orthorhombic
distance to the lowest polymorph of the same formula: 119 meV/atom

a = 2.7317 Å, b = 7.5439 Å, c = 13.3096 Å
α = 90.00°, β = 90.00°, γ = 90.00°
Space group Immm (No. 71)
Asymmetric unit:
Fe: 0.0000 0.1740 0.0000
Pd: 0.0000 0.0000 0.5000
Pd: 0.0000 0.5000 0.3581
Pt: 0.0000 0.3230 0.1685


Record 15
Below is an optimized crystal structure of Fe5Pd4Pt2, with properties calculated at the PBE level.

Values from the calculation:
crystal system: orthorhombic

a = 6.8919 Å, b = 16.7119 Å, c = 2.7512 Å
α = 90.00°, β = 90.00°, γ = 90.00°
Space group Pbam (No. 55)
Asymmetric unit:
Fe: 0.0000 0.0000 0.0000
Fe: 0.1422 0.4350 0.0000
Fe: 0.2345 0.2026 0.0000
Pd: 0.0696 0.8601 0.5000
Pd: 0.2057 0.5650 0.5000
Pt: 0.0494 0.3064 0.5000


Record 16
Below is an optimized crystal structure of FePd2Pt6, with properties calculated at the PBE level.

Values from the calculation:
crystal system: trigonal

a = 7.7168 Å, b = 7.7168 Å, c = 2.7162 Å
α = 90.00°, β = 90.00°, γ = 120.00°
Space group P-31m (No. 162)
Asymmetric unit:
Fe: 0.0000 0.0000 0.0000
Pd: 0.3333 0.6667 0.5000
Pt: 0.0000 0.3255 0.2223


Record 17
Below is an optimized crystal structure of Fe2PdPt, with properties calculated at the PBE level.

Values from the calculation:
crystal system: tetragonal

a = 3.2302 Å, b = 3.2302 Å, c = 5.4618 Å
α = 90.00°, β = 90.00°, γ = 90.00°
Space group P4/mmm (No. 123)
Asymmetric unit:
Fe: 0.0000 0.0000 0.2465
Pd: 0.5000 0.5000 0.5000
Pt: 0.5000 0.5000 0.0000


Record 18
Below is an optimized crystal structure of Fe3Pd12Pt4, with properties calculated at the PBE level.

Values from the calculation:
crystal system: cubic

a = 9.4214 Å, b = 9.4214 Å, c = 9.4214 Å
α = 90.00°, β = 90.00°, γ = 90.00°
Space group Im-3 (No. 204)
Asymmetric unit:
Fe: 0.0000 0.0000 0.5000
Pd: 0.0000 0.2611 0.3599
Pt: 0.2500 0.2500 0.2500


Record 19
Below is an optimized crystal structure of Fe2Pd2Pt15, with properties calculated at the PBE level.

Values from the calculation:
crystal system: trigonal

a = 9.0715 Å, b = 9.0715 Å, c = 13.5978 Å
α = 90.00°, β = 90.00°, γ = 120.00°
Space group R-3m (No. 166, hexagonal axes)
Asymmetric unit:
Fe: 0.0000 0.0000 0.0924
Pd: 0.0000 0.0000 0.2908
Pt: 0.0000 0.3187 0.0000
Pt: 0.0004 0.5002 0.1597
Pt: 0.0000 0.5000 0.5000


Record 20
Below is an optimized crystal structure of FePdPt3, with properties calculated at the PBE level.

Values from the calculation:
crystal system: cubic
distance to the lowest polymorph of the same formula: 2002 meV/atom

a = 4.7970 Å, b = 4.7970 Å, c = 4.7970 Å
α = 90.00°, β = 90.00°, γ = 90.00°
Space group Pm-3m (No. 221)
Asymmetric unit:
Fe: 0.0000 0.0000 0.0000
Pd: 0.5000 0.5000 0.5000
Pt: 0.0000 0.5000 0.5000


The calculation returns the following calculated volume values, one per record and in order: 13.778 14.673 19.807 28.077 20.458 16.376 17.915 15.373 15.022 15.097 16.058 14.945 15.024 15.238 14.403 15.564 14.248 22.007 17.001 22.077 A^3/atom.
The calculation returns the following formation enthalpy at 0 K values, one per record and in order: 0.160 -0.074 -0.120 -0.321 -0.074 -0.012 0.543 -0.105 0.058 -0.188 0.053 -0.204 -0.088 -0.043 -0.087 0.007 -0.054 0.479 0.147 1.946 eV per atom.